Computed, not measured: Tb2HoMoO8 after structural relaxation at the GGA+U level of DFT.

a = 5.0748 Å, b = 5.0748 Å, c = 6.7991 Å
α = 90.00°, β = 90.00°, γ = 90.80°
Closest atoms and distances in Å follow each position.
Atoms (fractional coordinates):
1 Tb 0.0000 0.0000 0.2499  6 O 2.19-2.35
2 Tb 0.0000 0.0000 0.7501  6 O 2.19-2.35
3 Ho 0.5000 0.5000 0.0000  6 O 2.18-2.35
4 Mo 0.5000 0.5000 0.5000  6 O 1.95
5 O 0.1947 0.1947 0.0000  1 Ho 2.18, 2 Tb 2.19
6 O 0.2270 0.2270 0.5000  1 Mo 1.95
7 O 0.3183 0.6817 0.2870  1 Mo 1.95
8 O 0.3183 0.6817 0.7130  1 Mo 1.95
9 O 0.6817 0.3183 0.2870  1 Mo 1.95
10 O 0.6817 0.3183 0.7130  1 Mo 1.95
11 O 0.7730 0.7730 0.5000  1 Mo 1.95
12 O 0.8053 0.8053 0.0000  1 Ho 2.18, 2 Tb 2.19

Output
raw total energy: -7.717 eV per atom
SG: No. 65